(1)
! NaLiGaF2 (GGA-PBE, relaxed); values from VASP
&SYSTEM
  ibrav = 0, nat = 5, ntyp = 4
/
ATOMIC_SPECIES
Na 22.99 Na.upf
Li 6.94 Li.upf
Ga 69.72 Ga.upf
F 19.00 F.upf
CELL_PARAMETERS angstrom
4.007 0.000 0.000
0.000 4.007 0.000
0.000 0.000 4.825
ATOMIC_POSITIONS crystal
Na 0.000 0.000 0.000
Li 0.000 0.000 0.500
Ga 0.500 0.500 0.000
F 0.000 0.500 0.500
F 0.500 0.000 0.500
! * formation energy without anion corrections: -1.392 eV per atom
! * magnetization: 0.00 μB per atom

(2)
! Li2PuGaPd4 (GGA-PBE, relaxed); values from VASP
&SYSTEM
  ibrav = 0, nat = 8, ntyp = 4
/
ATOMIC_SPECIES
Li 6.94 Li.upf
Pu 244.00 Pu.upf
Ga 69.72 Ga.upf
Pd 106.42 Pd.upf
CELL_PARAMETERS angstrom
2.188 1.263 7.853
-2.188 1.263 7.853
0.000 -2.527 7.853
ATOMIC_POSITIONS crystal
Li 0.241 0.241 0.241
Li 0.759 0.759 0.759
Pu 0.000 0.000 0.000
Ga 0.500 0.500 0.500
Pd 0.129 0.129 0.129
Pd 0.393 0.393 0.393
Pd 0.607 0.607 0.607
Pd 0.871 0.871 0.871
! * energy of formation: -0.528 eV per atom
! * magnetization: 0.67 μB per atom

(3)
! Tb4Nd2ErTm2 (GGA-PBE, relaxed); values from VASP
&SYSTEM
  ibrav = 0, nat = 9, ntyp = 4
/
ATOMIC_SPECIES
Tb 158.93 Tb.upf
Nd 144.24 Nd.upf
Er 167.26 Er.upf
Tm 168.93 Tm.upf
CELL_PARAMETERS angstrom
6.003 0.000 0.000
2.851 5.996 0.000
2.957 0.330 8.081
ATOMIC_POSITIONS crystal
Tb 0.113 0.127 0.264
Tb 0.239 0.572 0.382
Tb 0.761 0.428 0.618
Tb 0.887 0.873 0.736
Nd 0.236 0.322 0.843
Nd 0.764 0.678 0.157
Er 0.500 0.000 0.500
Tm 0.320 0.772 0.947
Tm 0.680 0.228 0.053
! * energy of formation: 0.083 eV per atom
! * magnetization: 0.00 μB per atom

(4)
! NaMn2Tl3Cl8 (GGA-PBE, relaxed); values from VASP
&SYSTEM
  ibrav = 0, nat = 14, ntyp = 4
/
ATOMIC_SPECIES
Na 22.99 Na.upf
Mn 54.94 Mn.upf
Tl 204.38 Tl.upf
Cl 35.45 Cl.upf
CELL_PARAMETERS angstrom
7.390 0.000 0.000
-3.695 6.400 0.000
0.000 0.000 9.092
ATOMIC_POSITIONS crystal
Na 0.000 0.000 0.000
Mn 0.333 0.667 0.700
Mn 0.667 0.333 0.300
Tl 0.000 0.000 0.500
Tl 0.333 0.667 0.122
Tl 0.667 0.333 0.878
Cl 0.165 0.331 0.805
Cl 0.165 0.835 0.805
Cl 0.331 0.165 0.195
Cl 0.333 0.667 0.446
Cl 0.667 0.333 0.554
Cl 0.669 0.835 0.805
Cl 0.835 0.165 0.195
Cl 0.835 0.669 0.195
! * formation energy without anion corrections: -1.147 eV per atom
! * magnetization: 0.71 μB per atom

(5)
! PrHoCu4 (GGA-PBE, relaxed); values from VASP
&SYSTEM
  ibrav = 0, nat = 6, ntyp = 3
/
ATOMIC_SPECIES
Pr 140.91 Pr.upf
Ho 164.93 Ho.upf
Cu 63.55 Cu.upf
CELL_PARAMETERS angstrom
0.000 3.762 3.762
3.762 0.000 3.762
3.762 3.762 0.000
ATOMIC_POSITIONS crystal
Pr 0.000 0.000 0.000
Ho 0.250 0.250 0.250
Cu 0.128 0.624 0.624
Cu 0.624 0.128 0.624
Cu 0.624 0.624 0.128
Cu 0.624 0.624 0.624
! * polymorph energy (0 for the lowest one): 0.69 eV/f.u.
! * energy of formation: -0.114 eV per atom
! * magnetization: 0.00 μB per atom

(6)
! CuO (GGA-PBE, relaxed); values from VASP
&SYSTEM
  ibrav = 0, nat = 6, ntyp = 2
/
ATOMIC_SPECIES
Cu 63.55 Cu.upf
O 16.00 O.upf
CELL_PARAMETERS angstrom
4.217 0.000 0.000
0.000 4.217 0.000
0.000 0.000 3.857
ATOMIC_POSITIONS crystal
Cu 0.000 0.000 0.000
Cu 0.000 0.500 0.500
Cu 0.500 0.000 0.500
O 0.000 0.000 0.500
O 0.000 0.500 0.000
O 0.500 0.000 0.000
! * formation energy without anion corrections: -0.305 eV per atom
! * magnetization: 0.14 μB per atom

(7)
! Er2Tm15Th2 (GGA-PBE, relaxed); values from VASP
&SYSTEM
  ibrav = 0, nat = 19, ntyp = 3
/
ATOMIC_SPECIES
Er 167.26 Er.upf
Tm 168.93 Tm.upf
Th 232.04 Th.upf
CELL_PARAMETERS angstrom
5.483 3.166 5.870
-5.483 3.166 5.870
0.000 -6.331 5.870
ATOMIC_POSITIONS crystal
Er 0.184 0.184 0.184
Er 0.816 0.816 0.816
Tm 0.000 0.500 0.500
Tm 0.134 0.134 0.645
Tm 0.134 0.645 0.134
Tm 0.198 0.500 0.802
Tm 0.198 0.802 0.500
Tm 0.355 0.866 0.866
Tm 0.500 0.000 0.500
Tm 0.500 0.198 0.802
Tm 0.500 0.500 0.000
Tm 0.500 0.802 0.198
Tm 0.645 0.134 0.134
Tm 0.802 0.198 0.500
Tm 0.802 0.500 0.198
Tm 0.866 0.355 0.866
Tm 0.866 0.866 0.355
Th 0.410 0.410 0.410
Th 0.590 0.590 0.590
! * energy of formation: 0.297 eV per atom
! * magnetization: 0.00 μB per atom

(8)
! Cu4Se3 (GGA-PBE, relaxed); values from VASP
&SYSTEM
  ibrav = 0, nat = 7, ntyp = 2
/
ATOMIC_SPECIES
Cu 63.55 Cu.upf
Se 78.96 Se.upf
CELL_PARAMETERS angstrom
5.732 0.000 0.000
0.000 5.732 0.000
0.000 0.000 5.732
ATOMIC_POSITIONS crystal
Cu 0.185 0.185 0.185
Cu 0.185 0.815 0.815
Cu 0.815 0.185 0.815
Cu 0.815 0.815 0.185
Se 0.000 0.000 0.500
Se 0.000 0.500 0.000
Se 0.500 0.000 0.000
! * polymorph energy (0 for the lowest one): 0.58 eV/f.u.
! * formation energy without anion corrections: 0.021 eV per atom
! * magnetization: 0.00 μB per atom

(9)
! Ce2In8Au (GGA-PBE, relaxed); values from VASP
&SYSTEM
  ibrav = 0, nat = 11, ntyp = 3
/
ATOMIC_SPECIES
Ce 140.12 Ce.upf
In 114.82 In.upf
Au 196.97 Au.upf
CELL_PARAMETERS angstrom
4.785 0.000 0.000
0.000 4.785 0.000
0.000 0.000 12.327
ATOMIC_POSITIONS crystal
Ce 0.000 0.000 0.189
Ce 0.000 0.000 0.811
In 0.000 0.500 0.000
In 0.000 0.500 0.370
In 0.000 0.500 0.630
In 0.500 0.000 0.000
In 0.500 0.000 0.370
In 0.500 0.000 0.630
In 0.500 0.500 0.188
In 0.500 0.500 0.812
Au 0.000 0.000 0.500
! * energy of formation: -0.353 eV per atom
! * magnetization: 0.14 μB per atom

(10)
! PmEuRu2 (GGA-PBE, relaxed); values from VASP
&SYSTEM
  ibrav = 0, nat = 4, ntyp = 3
/
ATOMIC_SPECIES
Pm 145.00 Pm.upf
Eu 151.96 Eu.upf
Ru 101.07 Ru.upf
CELL_PARAMETERS angstrom
4.901 0.000 0.000
0.000 4.901 0.000
0.000 0.000 3.491
ATOMIC_POSITIONS crystal
Pm 0.000 0.000 0.000
Eu 0.500 0.500 0.000
Ru 0.000 0.500 0.500
Ru 0.500 0.000 0.500
! * energy of formation: 0.115 eV per atom
! * magnetization: 1.52 μB per atom

(11)
! Ac3La12Nd (GGA-PBE, relaxed); values from VASP
&SYSTEM
  ibrav = 0, nat = 16, ntyp = 3
/
ATOMIC_SPECIES
Ac 227.00 Ac.upf
La 138.91 La.upf
Nd 144.24 Nd.upf
CELL_PARAMETERS angstrom
5.331 0.000 0.000
0.000 5.331 0.000
0.000 0.000 21.318
ATOMIC_POSITIONS crystal
Ac 0.000 0.000 0.000
Ac 0.000 0.000 0.252
Ac 0.000 0.000 0.748
La 0.000 0.500 0.126
La 0.000 0.500 0.379
La 0.000 0.500 0.621
La 0.000 0.500 0.874
La 0.500 0.000 0.126
La 0.500 0.000 0.379
La 0.500 0.000 0.621
La 0.500 0.000 0.874
La 0.500 0.500 0.000
La 0.500 0.500 0.253
La 0.500 0.500 0.500
La 0.500 0.500 0.747
Nd 0.000 0.000 0.500
! * energy of formation: 0.010 eV per atom
! * magnetization: 0.00 μB per atom

(12)
! La6FeCu2Br3 (GGA-PBE, relaxed); values from VASP
&SYSTEM
  ibrav = 0, nat = 12, ntyp = 4
/
ATOMIC_SPECIES
La 138.91 La.upf
Fe 55.84 Fe.upf
Cu 63.55 Cu.upf
Br 79.90 Br.upf
CELL_PARAMETERS angstrom
3.639 -6.304 0.000
3.639 6.304 0.000
-2.433 0.000 7.831
ATOMIC_POSITIONS crystal
La 0.067 0.376 0.201
La 0.244 0.244 0.800
La 0.376 0.067 0.201
La 0.624 0.933 0.799
La 0.756 0.756 0.200
La 0.933 0.624 0.799
Fe 0.000 0.000 0.000
Cu 0.333 0.667 0.000
Cu 0.667 0.333 0.000
Br 0.166 0.834 0.500
Br 0.500 0.500 0.500
Br 0.834 0.166 0.500
! * formation energy without anion corrections: -0.717 eV per atom
! * magnetization: 0.00 μB per atom

Computed values of electronic total energy (unit: eV/cell) for the preceding records, in sequence: -16.96; -46.18; -40.81; -57.58; -26.43; -28.99; -85.39; -26.69; -40.94; -33.12; -76.07; -59.84.
Computed values of N(E_F) (unit: states/eV per atom) for the preceding records, in sequence: 0.31; 1.71; 1.55; 0.00; 0.58; 0.93; 1.50; 1.17; 1.06; 1.45; 1.80; 0.79.
Computed values of volume (unit: A^3/atom) for the preceding records, in sequence: 15.49; 16.28; 32.32; 30.71; 17.75; 11.43; 32.18; 26.91; 25.66; 20.96; 37.87; 29.94.